Entry 1:
Density functional theory data (GGA-PBE) for a geometry-optimized Gd2Pb structure.

Cell: 9.595 9.595 9.595 Å, 60.00 60.00 60.00°
Sites, in units of the cell vectors:
Pb 0.250 0.250 0.250
Pb 0.500 0.500 0.500
Gd 0.375 0.875 0.375
Gd 0.375 0.375 0.875
Gd 0.375 0.375 0.375
Gd 0.875 0.375 0.375

Summary:
Total energy: -2.987 eV/atom
Energy above the most stable polymorph in this dataset: 1737 meV per atom


Entry 2:
Density functional theory data (GGA-PBE) for a geometry-optimized Pr2Gd2SiI5 structure.

Cell: 9.984 9.984 8.924 Å, 102.42 102.42 24.68°
Sites, in units of the cell vectors:
I 0.500 0.500 0.500
I 0.168 0.168 0.815
I 0.837 0.837 0.653
I 0.832 0.832 0.185
I 0.163 0.163 0.347
Pr 0.649 0.649 0.075
Pr 0.351 0.351 0.925
Gd 0.000 0.000 0.211
Gd 0.000 0.000 0.789
Si 0.500 0.500 0.000

Summary:
Total energy: -4.424 eV/atom
Energy above the most stable polymorph in this dataset: 6 meV per atom


Entry 3:
Density functional theory data (GGA-PBE) for a geometry-optimized Sr2LaPt9 structure.

Cell: 9.522 9.522 9.522 Å, 33.45 33.45 33.45°
Sites, in units of the cell vectors:
Pt 0.500 0.500 0.500
Pt 0.416 0.416 0.919
Pt 0.667 0.667 0.667
Pt 0.416 0.919 0.416
Pt 0.584 0.584 0.081
Pt 0.081 0.584 0.584
Pt 0.919 0.416 0.416
Pt 0.333 0.333 0.333
Pt 0.584 0.081 0.584
La 0.000 0.000 0.000
Sr 0.142 0.142 0.142
Sr 0.858 0.858 0.858

Summary:
Total energy: -6.031 eV/atom


Entry 4:
Density functional theory data (GGA-PBE) for a geometry-optimized HoAuSeO structure.

Cell: 9.486 5.549 5.548 Å, 90.00 90.00 90.00°
Sites, in units of the cell vectors:
Ho 0.884 0.501 0.750
Ho 0.116 0.001 0.750
Ho 0.884 0.999 0.250
Ho 0.116 0.499 0.250
O 0.999 0.250 0.500
O 0.999 0.250 0.000
O 0.001 0.750 0.000
O 0.001 0.750 0.500
Se 0.718 0.002 0.750
Se 0.282 0.998 0.250
Se 0.282 0.502 0.750
Se 0.718 0.498 0.250
Au 0.504 0.750 0.000
Au 0.504 0.750 0.500
Au 0.496 0.250 0.500
Au 0.496 0.250 0.000

Summary:
Total energy: -5.898 eV/atom
Energy above the most stable polymorph in this dataset: 92 meV per atom


Entry 5:
Density functional theory data (GGA-PBE) for a geometry-optimized Li4MgInHg2 structure.

Cell: 4.694 4.694 6.652 Å, 90.00 90.00 90.00°
Sites, in units of the cell vectors:
Li 0.500 0.500 0.000
Li 0.000 0.000 0.500
Li 0.000 0.500 0.753
Li 0.500 0.000 0.247
In 0.000 0.000 0.000
Mg 0.500 0.500 0.500
Hg 0.000 0.500 0.264
Hg 0.500 0.000 0.736

Summary:
Total energy: -1.870 eV/atom


Entry 6:
Density functional theory data (GGA-PBE) for a geometry-optimized Th4OsI5 structure.

Cell: 9.632 9.632 9.442 Å, 98.99 98.99 24.14°
Last column: magnetic moment on the atom in μB.
Sites, in units of the cell vectors:
I 0.831 0.831 0.224  0.00
I 0.169 0.169 0.776  0.00
I 0.500 0.500 0.500  0.00
I 0.831 0.831 0.675  0.00
I 0.169 0.169 0.325  0.00
Os 0.500 0.500 0.000  0.02
Th 0.999 0.999 0.801  0.01
Th 0.665 0.665 0.049  0.10
Th 0.001 0.001 0.199  0.01
Th 0.335 0.335 0.951  0.10

Summary:
Total energy: -5.770 eV/atom


Q: What is the formula in the sixth record?
A: Th4OsI5


Repeat the sixth record exactly.
Density functional theory data (GGA-PBE) for a geometry-optimized Th4OsI5 structure.

Cell: 9.632 9.632 9.442 Å, 98.99 98.99 24.14°
Last column: magnetic moment on the atom in μB.
Sites, in units of the cell vectors:
I 0.831 0.831 0.224  0.00
I 0.169 0.169 0.776  0.00
I 0.500 0.500 0.500  0.00
I 0.831 0.831 0.675  0.00
I 0.169 0.169 0.325  0.00
Os 0.500 0.500 0.000  0.02
Th 0.999 0.999 0.801  0.01
Th 0.665 0.665 0.049  0.10
Th 0.001 0.001 0.199  0.01
Th 0.335 0.335 0.951  0.10

Summary:
Total energy: -5.770 eV/atom


Q: Which of these has the highest total energy?
A: Li4MgInHg2


Q: What is the formula in the first record?
A: Gd2Pb